Compound: MnBiPb2O4
Source: Alexandria via LeMat-Bulk
Functional: GGA+U
Structure: relaxed

Geometry as CIF:
```
data_MnBiPb2O4
_space_group_name_H-M_alt 'C 1 2/c 1'
_space_group_IT_number 15
_cell_length_a 10.215
_cell_length_b 9.984
_cell_length_c 6.881
_cell_angle_alpha 90.00
_cell_angle_beta 132.30
_cell_angle_gamma 90.00
loop_
_space_group_symop_operation_xyz
'x,y,z'
'-x,-y,-z'
'-x,y,-z+1/2'
'x,-y,z+1/2'
'x+1/2,y+1/2,z'
'-x+1/2,-y+1/2,-z'
'-x+1/2,y+1/2,-z+1/2'
'x+1/2,-y+1/2,z+1/2'
loop_
_atom_site_label
_atom_site_type_symbol
_atom_site_fract_x
_atom_site_fract_y
_atom_site_fract_z
_atom_site_occupancy
Mn1 Mn 0.000 0.000 0.000 1
Bi1 Bi 0.250 0.250 0.000 1
Pb1 Pb 0.000 0.500 0.000 1
Pb2 Pb 0.250 0.250 0.500 1
O1 O 0.000 0.233 0.516 1
O2 O 0.199 0.008 0.947 1
```

Values from the calculation:
Raw total energy, eV per cell: -185.870
Crystal system: monoclinic
Magnetization, Bohr magnetons per cell: 18.81